Compound: AlZnSbCl2
Source: Alexandria
Functional: GGA-PBE
Structure: relaxed

Output
Its formation energy without anion corrections is -0.11 eV per atom. For the total energy, the calculation gives -2.67 eV per atom.

a b c (Å): 4.670 4.670 5.847
angles (deg): 90.00 90.00 90.00
Sites, in units of the cell vectors:
Al: 0.000 0.000 0.000
Zn: 0.500 0.500 0.500
Sb: 0.500 0.500 0.000
Cl: 0.000 0.500 0.500
Cl: 0.500 0.000 0.500